[1]
Computed, not measured: a relaxed CrInHPb2 crystal at the PBE level of DFT.

Output
Theoretical density ... 8.90 g/cm³
Space group ... No. 123
Density of states at the Fermi level ... 1.6 states/eV/cell
Energy ... -4.137 eV/atom

POSCAR file:
```
CrInHPb2
1.0
-0.8171 2.0166 -4.3929
-4.3979 0.3566 0.9817
0.7845 4.4515 1.8976
Pb Cr H In
2 1 1 1
Cartesian
0.3923 2.2257 0.9488
-0.4086 1.0083 -2.1965
-2.2152 3.4123 -0.7568
0.0000 0.0000 0.0000
-2.1989 0.1783 0.4909
```



[2]
Computed, not measured: a relaxed KMn2Ir crystal at the PBE level of DFT.

Output
Distance to the lowest polymorph of the same formula ... 422 meV per atom
Theoretical density ... 8.18 g/cm³
Space group ... No. 12
Density of states at the Fermi level ... 4.2 states/eV/cell
Energy ... -6.159 eV/atom

POSCAR file:
```
KMn2Ir
1.0
4.9391 0.0710 -0.0278
-1.0592 4.8247 -0.0278
0.0112 0.0141 2.8987
Ir K Mn
1 1 2
Cartesian
2.4751 0.0426 1.4354
-0.5240 2.4194 1.4354
0.0000 0.0000 0.0000
1.9400 2.4479 -0.0278
```



[3]
Computed, not measured: a relaxed DyUFe4 crystal at the PBE level of DFT.

Output
Distance to the lowest polymorph of the same formula ... 156 meV per atom
Theoretical density ... 10.42 g/cm³
Space group ... No. 12
Density of states at the Fermi level ... 10.8 states/eV/cell
Energy ... -8.146 eV/atom

POSCAR file:
```
DyUFe4
1.0
5.2598 0.0000 0.6769
0.0000 5.5561 0.0000
-0.9716 -2.7781 6.6815
Dy U Fe
2 2 8
Cartesian
3.9432 2.7781 4.5975
0.3450 0.0000 2.7608
1.0869 2.7781 1.1836
3.2012 0.0000 6.1748
1.5242 2.7781 3.3273
1.0547 -1.4127 5.3895
0.0000 1.1064 0.0000
3.2335 1.3653 1.9689
2.7640 0.0000 4.0310
3.2335 4.1908 1.9689
0.0000 4.4497 0.0000
1.0547 1.4127 5.3895
```



[4]
Computed, not measured: a relaxed Ac2HBr crystal at the PBE level of DFT.

Output
Theoretical density ... 7.96 g/cm³
Space group ... No. 166
Density of states at the Fermi level ... 1.4 states/eV/cell
Energy ... -4.069 eV/atom

POSCAR file:
```
Ac2HBr
1.0
-0.8071 -3.7526 -1.0416
1.6220 -3.0174 2.0207
-6.1077 -2.2915 5.3951
H Ac Br
1 2 1
Cartesian
-2.6464 -4.5307 3.1871
-1.6950 -2.2674 1.8889
-3.5979 -6.7941 4.4852
0.0000 0.0000 0.0000
```